First-principles (PBE+U) data for a relaxed UCrBi2O8 crystal, as listed in Alexandria.

a = 5.0977 Å, b = 5.0977 Å, c = 6.7749 Å
α = 90.00°, β = 90.00°, γ = 90.99°
With the nearest neighbours (Å) after each atom.
Element x y z (fractional)
U 0.0000 0.0000 0.0000  6 O 2.08-2.11
Cr 0.0000 0.0000 0.5000  6 O 2.01-2.13
Bi 0.5000 0.5000 0.2634  6 O 2.24-2.36
Bi 0.5000 0.5000 0.7366  6 O 2.24-2.36
O 0.1751 0.8249 0.2488  1 U 2.11, 1 Cr 2.13, 1 Bi 2.36
O 0.1751 0.8249 0.7512  1 U 2.11, 1 Cr 2.13, 1 Bi 2.36
O 0.2809 0.2809 0.5000  1 Cr 2.01, 2 Bi 2.24
O 0.2910 0.2910 0.0000  1 U 2.08, 2 Bi 2.33
O 0.7090 0.7090 0.0000  1 U 2.08, 2 Bi 2.33
O 0.7191 0.7191 0.5000  1 Cr 2.01, 2 Bi 2.24
O 0.8249 0.1751 0.2488  1 U 2.11, 1 Cr 2.13, 1 Bi 2.36
O 0.8249 0.1751 0.7512  1 U 2.11, 1 Cr 2.13, 1 Bi 2.36

Total magnetic moment = 2.64 Bohr magnetons per cell
Total energy = -7.398 eV/atom